Crystalline BeFeCoRe2 at its relaxed geometry, computed with GGA-PBEsol.

Computed properties:
energy of formation: 0.889 eV per atom

abc: 4.0544 4.0544 3.7297
angles: 90.00 90.00 90.00
Last column: nearest neighbours and their distance in Å.
Element x y z (fractional)
Be 0.0000 0.0000 0.0000  2 Fe 1.86, 4 Re 2.03
Fe 0.0000 0.0000 0.5000  2 Be 1.86
Co 0.5000 0.5000 0.5000  8 Re 2.75, 4 Fe 2.87
Re 0.0000 0.5000 0.0000  2 Be 2.03
Re 0.5000 0.0000 0.0000  2 Be 2.03